[1]
Material: Pm5Ga2Ir2
Method: DFT, GGA-PBE
State: optimized geometry

Output
Total moment ... 0.00 μB/f.u.
Total DFT energy (no corrections) ... -5.84 eV/atom
Formation energy from the elements ... -557.3 meV/atom
V ... 25.92 Å³ per atom

Geometry as POSCAR:
```
Pm5Ga2Ir2
1.0
-4.785 0.149 -6.676
2.640 -6.508 -2.037
-6.976 -0.285 4.993
Pm Ga Ir
10 4 4
Direct
0.681 0.300 0.259
0.319 0.959 0.259
0.819 0.541 0.741
0.681 0.041 0.741
0.181 0.200 0.741
0.500 0.500 0.000
0.000 0.000 0.000
0.319 0.700 0.741
0.819 0.800 0.259
0.181 0.459 0.259
0.000 0.212 0.423
0.500 0.288 0.577
0.500 0.712 0.423
0.000 0.788 0.577
0.125 0.620 0.000
0.625 0.880 0.000
0.375 0.120 0.000
0.875 0.380 0.000
```

---

[2]
Material: BaYIn
Method: DFT, GGA-PBE
State: optimized geometry

Output
Total moment ... 0.00 μB/f.u.
Total DFT energy (no corrections) ... -3.96 eV/atom
Formation energy from the elements ... -254.0 meV/atom
V ... 36.79 Å³ per atom

Geometry as POSCAR:
```
BaYIn
1.0
-4.801 -10.767 9.138
0.515 -1.746 -3.474
3.700 -0.830 0.965
Ba In Y
2 2 2
Direct
0.412 0.731 0.408
0.674 0.493 0.908
0.083 0.402 0.408
0.836 0.155 0.408
0.204 0.023 0.908
0.954 0.773 0.908
```

---

[3]
Material: MgPbBr3
Method: DFT, GGA-PBE
State: optimized geometry

Output
Energy relative to the elements, uncorrected ... -0.81 eV/atom
Total moment ... 0.00 μB/f.u.
Total DFT energy (no corrections) ... -2.88 eV/atom
V ... 29.28 Å³ per atom

Geometry as POSCAR:
```
MgPbBr3
1.0
-3.270 -1.874 -3.684
4.000 -2.621 -2.217
-1.044 -4.171 3.048
Pb Br Mg
1 3 1
Direct
0.500 0.500 0.500
0.000 0.000 0.500
0.000 0.500 0.000
0.500 0.000 0.000
0.000 0.000 0.000
```